No. 1
Crystalline SiRuW2 at its relaxed geometry, computed with GGA-PBE.

Unit cell a=3.1090 b=4.2910 c=4.3907 alpha=90.00 beta=90.00 gamma=90.00
Atoms (fractional coordinates):
Si 0.0000 0.0000 0.0000
Ru 0.5000 0.5000 0.0000
W 0.0000 0.5000 0.5000
W 0.5000 0.0000 0.5000

Summary:
**Magnetic moment**: 0.00 μB/f.u.
**Energy relative to the elements, uncorrected**: -0.04 eV per atom



No. 2
Crystalline Si2RuW at its relaxed geometry, computed with GGA-PBE.

Unit cell a=8.2524 b=8.2524 c=8.2524 alpha=19.73 beta=19.73 gamma=19.73
Atoms (fractional coordinates):
Si 0.2444 0.2444 0.2444
Si 0.7556 0.7556 0.7556
Ru 0.5000 0.5000 0.5000
W 0.0000 0.0000 0.0000

Summary:
**Magnetic moment**: 0.00 μB/f.u.
**Relative energy among the computed polymorphs**: 179 meV/atom
**Energy relative to the elements, uncorrected**: -0.11 eV per atom



No. 3
Crystalline Si2RuW at its relaxed geometry, computed with GGA-PBE.

Unit cell a=3.1216 b=3.1216 c=5.6678 alpha=90.00 beta=90.00 gamma=90.00
Atoms (fractional coordinates):
Si 0.0000 0.0000 0.0000
Si 0.5000 0.5000 0.2497
Ru 0.5000 0.5000 0.7971
W 0.0000 0.0000 0.4610

Summary:
**Magnetic moment**: 0.00 μB/f.u.
**Relative energy among the computed polymorphs**: 5 meV/atom
**Energy relative to the elements, uncorrected**: -0.28 eV per atom



No. 4
Crystalline SiRuW at its relaxed geometry, computed with GGA-PBE.

Unit cell a=4.1758 b=4.1758 c=2.8182 alpha=90.00 beta=90.00 gamma=120.00
Atoms (fractional coordinates):
Si 0.0000 0.0000 0.0000
Ru 0.6667 0.3333 0.0000
W 0.3333 0.6667 0.5000

Summary:
**Magnetic moment**: 0.00 μB/f.u.
**Energy relative to the elements, uncorrected**: -0.28 eV per atom



What is the formula in the first record? SiRuW2